No. 1
Compound: La2Tb2Pr3
Source: Alexandria
Functional: GGA-PBE
Structure: relaxed

Output
calculated total energy = -4.67 eV per atom
spin magnetization = 0.00 μB/f.u.
energy of formation from the pure elements = 10.8 kJ/mol of atoms

Cell lengths 18.038, 3.590, 8.770 Å; angles 90.00, 118.84, 90.00 degrees
Space group C2/m (No. 12)
Asymmetric unit:
1 La 0.064 0.000 0.412 x4
2 Tb 0.150 0.500 0.838 x4
3 Pr 0.000 0.500 0.000 x2
4 Pr 0.213 0.500 0.296 x4

=====

No. 2
Compound: La2Tb3Pr
Source: Alexandria
Functional: GGA-PBE
Structure: relaxed

Output
calculated total energy = -4.38 eV per atom
spin magnetization = 0.00 μB/f.u.
energy of formation from the pure elements = 36.1 kJ/mol of atoms

Cell lengths 3.415, 10.244, 12.007 Å; angles 90.00, 90.00, 90.00 degrees
Space group Imm2 (No. 44)
Asymmetric unit:
1 La 0.000 0.167 0.000 x4
2 Tb 0.000 0.000 0.248 x2
3 Tb 0.000 0.334 0.249 x4
4 Pr 0.000 0.500 0.999 x2

=====

No. 3
Compound: La3Tb4Pr5
Source: Alexandria
Functional: GGA-PBE
Structure: relaxed

Output
calculated total energy = -4.56 eV per atom
spin magnetization = 0.20 μB/f.u.
energy of formation from the pure elements = 20.2 kJ/mol of atoms

Cell lengths 16.547, 6.091, 9.452 Å; angles 90.00, 116.49, 90.00 degrees
Space group C2/m (No. 12)
Asymmetric unit:
1 La 0.000 0.000 0.000 x2
2 La 0.205 0.500 0.217 x4
3 Tb 0.079 0.500 0.437 x4
4 Tb 0.209 0.500 0.870 x4
5 Pr 0.000 0.500 0.000 x2
6 Pr 0.076 0.000 0.700 x4
7 Pr 0.174 0.000 0.393 x4

=====

No. 4
Compound: La4TbPr2
Source: Alexandria
Functional: GGA-PBE
Structure: relaxed

Output
calculated total energy = -4.81 eV per atom
spin magnetization = 0.00 μB/f.u.
energy of formation from the pure elements = 3.3 kJ/mol of atoms

Cell lengths 7.065, 8.852, 9.606 Å; angles 64.86, 71.05, 76.05 degrees
Space group P1 (No. 1)
Asymmetric unit:
1 La 0.000 0.000 0.000 x1
2 La 0.041 0.190 0.261 x1
3 La 0.189 0.762 0.544 x1
4 La 0.420 0.714 0.855 x1
5 La 0.621 0.476 0.405 x1
6 La 0.758 0.046 0.691 x1
7 La 0.853 0.430 0.715 x1
8 La 0.897 0.617 0.977 x1
9 Tb 0.332 0.333 0.831 x1
10 Tb 0.709 0.857 0.428 x1
11 Pr 0.143 0.572 0.284 x1
12 Pr 0.284 0.145 0.569 x1
13 Pr 0.474 0.907 0.118 x1
14 Pr 0.567 0.282 0.142 x1

=====

No. 5
Compound: La11Tb9Pr4
Source: Alexandria
Functional: GGA-PBE
Structure: relaxed

Output
calculated total energy = -4.72 eV per atom
spin magnetization = 0.00 μB/f.u.
energy of formation from the pure elements = 6.5 kJ/mol of atoms

Cell lengths 17.282, 26.069, 3.763 Å; angles 90.00, 90.00, 90.00 degrees
Space group Cmmm (No. 65)
Asymmetric unit:
1 La 0.000 0.000 0.000 x2
2 La 0.000 0.158 0.000 x4
3 La 0.000 0.367 0.000 x4
4 La 0.210 0.500 0.000 x4
5 La 0.226 0.181 0.000 x8
6 Tb 0.000 0.500 0.500 x2
7 Tb 0.101 0.264 0.500 x8
8 Tb 0.138 0.073 0.500 x8
9 Pr 0.155 0.399 0.500 x8

=====

No. 6
Compound: LaTbPr3
Source: Alexandria
Functional: GGA-PBE
Structure: relaxed

Output
calculated total energy = -4.47 eV per atom
spin magnetization = 0.00 μB/f.u.
energy of formation from the pure elements = 29.4 kJ/mol of atoms

Cell lengths 8.282, 14.206, 6.342 Å; angles 90.00, 90.00, 90.00 degrees
Space group Cmcm (No. 63)
Asymmetric unit:
1 La 0.000 0.201 0.250 x4
2 Tb 0.000 0.338 0.750 x4
3 Pr 0.000 0.000 0.000 x4
4 Pr 0.197 0.401 0.250 x8

=====

No. 7
Compound: LaTb7Pr3
Source: Alexandria
Functional: GGA-PBE
Structure: relaxed

Output
calculated total energy = -4.52 eV per atom
spin magnetization = 0.00 μB/f.u.
energy of formation from the pure elements = 17.1 kJ/mol of atoms

Cell lengths 7.1477, 7.1477, 8.8152 Å; angles 90.00, 90.00, 120.00 degrees
Space group P3m1 (No. 156)
Asymmetric unit:
1 La 0.0000 0.0000 0.0000 x1
2 Tb 0.0017 0.5009 0.9978 x3
3 Tb 0.3327 0.1663 0.3238 x3
4 Tb 0.3333 0.6667 0.3193 x1
5 Pr 0.1671 0.3341 0.6583 x3

=====

No. 8
Compound: La7TbPr4
Source: Alexandria
Functional: GGA-PBE
Structure: relaxed

Output
calculated total energy = -4.65 eV per atom
spin magnetization = 0.00 μB/f.u.
energy of formation from the pure elements = 19.8 kJ/mol of atoms

Cell lengths 17.038, 6.164, 9.872 Å; angles 90.00, 122.52, 90.00 degrees
Space group C2/m (No. 12)
Asymmetric unit:
1 La 0.000 0.000 0.000 x2
2 La 0.075 0.500 0.423 x4
3 La 0.186 0.500 0.896 x4
4 La 0.228 0.000 0.682 x4
5 Tb 0.000 0.500 0.000 x2
6 Pr 0.042 0.000 0.719 x4
7 Pr 0.188 0.000 0.320 x4

=====

No. 9
Compound: LaTb2Pr
Source: Alexandria
Functional: GGA-PBE
Structure: relaxed

Output
calculated total energy = -4.70 eV per atom
spin magnetization = 0.00 μB/f.u.
energy of formation from the pure elements = 4.4 kJ/mol of atoms

Cell lengths 8.030, 11.919, 5.779 Å; angles 90.00, 90.00, 90.00 degrees
Space group Cmcm (No. 63)
Asymmetric unit:
1 La 0.000 0.123 0.250 x4
2 Tb 0.215 0.403 0.250 x8
3 Pr 0.000 0.328 0.750 x4

=====

No. 10
Compound: LaTb2Pr
Source: Alexandria
Functional: GGA-PBE
Structure: relaxed

Output
calculated total energy = -4.64 eV per atom
spin magnetization = 0.00 μB/f.u.
energy of formation from the pure elements = 10.1 kJ/mol of atoms

Cell lengths 8.203, 8.203, 8.203 Å; angles 90.00, 90.00, 90.00 degrees
Space group Fm-3m (No. 225)
Asymmetric unit:
1 La 0.000 0.000 0.000 x4
2 Tb 0.250 0.250 0.250 x8
3 Pr 0.000 0.000 0.500 x4

=====

No. 11
Compound: La8TbPr5
Source: Alexandria
Functional: GGA-PBE
Structure: relaxed

Output
calculated total energy = -4.64 eV per atom
spin magnetization = 0.00 μB/f.u.
energy of formation from the pure elements = 20.5 kJ/mol of atoms

Cell lengths 9.982, 9.982, 10.390 Å; angles 90.00, 90.00, 90.00 degrees
Space group I-4 (No. 82)
Asymmetric unit:
1 La 0.069 0.170 0.156 x8
2 La 0.079 0.312 0.495 x8
3 Tb 0.000 0.000 0.500 x2
4 Pr 0.000 0.500 0.250 x2
5 Pr 0.103 0.294 0.826 x8

=====

No. 12
Compound: La3Tb2Pr8
Source: Alexandria
Functional: GGA-PBE
Structure: relaxed

Output
calculated total energy = -4.59 eV per atom
spin magnetization = 0.00 μB/f.u.
energy of formation from the pure elements = 19.8 kJ/mol of atoms

Cell lengths 20.886, 7.800, 5.871 Å; angles 90.00, 90.11, 90.00 degrees
Space group C2/m (No. 12)
Asymmetric unit:
1 La 0.000 0.000 0.000 x2
2 La 0.000 0.291 0.500 x4
3 Tb 0.241 0.000 0.996 x4
4 Pr 0.108 0.291 0.000 x8
5 Pr 0.136 0.000 0.498 x4
6 Pr 0.177 0.500 0.503 x4

=====

> Look up the spin magnetization of the eighth one.

0.00 μB/f.u.

=====

> What is the formula in the sixth record?

LaTbPr3

=====

> Which formula does entry 8 have?

La7TbPr4